# 1
Material: YBOs
Method: DFT, PBE
State: relaxed

Magnetic moment   0.01 Bohr magnetons per cell
ρ   9.89 g/cm³
Excess energy over the best structure of this formula in the dataset   0 kJ/mol of formula units

Unit cell a=4.098 b=4.098 c=4.098 alpha=60.00 beta=60.00 gamma=60.00
Fractional positions:
B (0.000, 0.000, 0.000)
Os (0.250, 0.250, 0.250)
Y (0.750, 0.750, 0.750)

=====

# 2
Material: YB4Os
Method: DFT, PBE
State: relaxed

Magnetic moment   0.01 Bohr magnetons per cell
ρ   8.71 g/cm³
Excess energy over the best structure of this formula in the dataset   0 kJ/mol of formula units

Unit cell a=5.970 b=11.549 c=3.565 alpha=90.00 beta=90.00 gamma=90.00
Fractional positions:
B (0.364, 0.030, 0.500)
B (0.888, 0.047, 0.500)
B (0.289, 0.186, 0.500)
B (0.974, 0.191, 0.500)
B (0.474, 0.309, 0.500)
B (0.789, 0.314, 0.500)
B (0.388, 0.453, 0.500)
B (0.864, 0.470, 0.500)
B (0.136, 0.530, 0.500)
B (0.612, 0.547, 0.500)
B (0.211, 0.686, 0.500)
B (0.526, 0.691, 0.500)
B (0.026, 0.809, 0.500)
B (0.711, 0.814, 0.500)
B (0.112, 0.953, 0.500)
B (0.636, 0.970, 0.500)
Os (0.140, 0.093, 0.000)
Os (0.640, 0.407, 0.000)
Os (0.360, 0.593, 0.000)
Os (0.860, 0.907, 0.000)
Y (0.628, 0.150, 0.000)
Y (0.128, 0.350, 0.000)
Y (0.872, 0.650, 0.000)
Y (0.372, 0.850, 0.000)

=====

# 3
Material: ZnB4Os
Method: DFT, PBE
State: relaxed

Magnetic moment   0.04 Bohr magnetons per cell
ρ   9.13 g/cm³
Excess energy over the best structure of this formula in the dataset   62 kJ/mol of formula units

Unit cell a=2.980 b=2.980 c=7.066 alpha=90.00 beta=90.00 gamma=120.00
Fractional positions:
B (0.667, 0.333, 0.245)
B (0.333, 0.667, 0.245)
B (0.667, 0.333, 0.755)
B (0.333, 0.667, 0.755)
Os (0.000, 0.000, 0.000)
Zn (0.000, 0.000, 0.500)

=====

# 4
Material: ZnB4Os
Method: DFT, PBE
State: relaxed

Magnetic moment   0.01 Bohr magnetons per cell
ρ   9.42 g/cm³
Excess energy over the best structure of this formula in the dataset   0 kJ/mol of formula units

Unit cell a=4.524 b=4.524 c=4.524 alpha=141.44 beta=109.70 gamma=83.17
Fractional positions:
B (0.594, 0.257, 0.338)
B (0.081, 0.743, 0.338)
B (0.919, 0.257, 0.662)
B (0.406, 0.743, 0.662)
Os (0.500, 0.500, 0.000)
Zn (0.000, 0.000, 0.000)

=====

# 5
Material: ZnB2Os
Method: DFT, PBE
State: relaxed

Magnetic moment   0.00 Bohr magnetons per cell
ρ   10.62 g/cm³
Energy   -0.3695 Ry per atom

Unit cell a=3.943 b=3.943 c=3.943 alpha=60.00 beta=60.00 gamma=60.00
Fractional positions:
B (0.000, 0.000, 0.000)
B (0.250, 0.250, 0.250)
Os (0.500, 0.500, 0.500)
Zn (0.750, 0.750, 0.750)

=====

# 6
Material: ZnBOs
Method: DFT, PBE
State: relaxed

Magnetic moment   0.00 Bohr magnetons per cell
ρ   10.72 g/cm³
Energy   -0.3998 Ry per atom

Unit cell a=3.879 b=3.879 c=3.879 alpha=60.00 beta=60.00 gamma=60.00
Fractional positions:
B (0.250, 0.250, 0.250)
Os (0.000, 0.000, 0.000)
Zn (0.750, 0.750, 0.750)

=====

# 7
Material: ZrBOs
Method: DFT, PBE
State: relaxed

Magnetic moment   0.00 Bohr magnetons per cell
ρ   9.49 g/cm³
Excess energy over the best structure of this formula in the dataset   0 kJ/mol of formula units

Unit cell a=4.166 b=4.166 c=4.166 alpha=60.00 beta=60.00 gamma=60.00
Fractional positions:
B (0.250, 0.250, 0.250)
Os (0.000, 0.000, 0.000)
Zr (0.750, 0.750, 0.750)

=====

# 8
Material: ZrBOs
Method: DFT, PBE
State: relaxed

Magnetic moment   0.00 Bohr magnetons per cell
ρ   9.07 g/cm³
Excess energy over the best structure of this formula in the dataset   135 kJ/mol of formula units

Unit cell a=4.230 b=4.230 c=4.230 alpha=60.00 beta=60.00 gamma=60.00
Fractional positions:
B (0.250, 0.250, 0.250)
Os (0.750, 0.750, 0.750)
Zr (0.000, 0.000, 0.000)

=====

# 9
Material: Zr2BOs
Method: DFT, PBE
State: relaxed

Magnetic moment   0.00 Bohr magnetons per cell
ρ   10.20 g/cm³
Energy   -0.6183 Ry per atom

Unit cell a=4.453 b=4.453 c=4.453 alpha=60.00 beta=60.00 gamma=60.00
Fractional positions:
B (0.500, 0.500, 0.500)
Os (0.250, 0.250, 0.250)
Zr (0.000, 0.000, 0.000)
Zr (0.750, 0.750, 0.750)

=====

# 10
Material: Sm4B2P5
Method: DFT, PBE
State: relaxed

Magnetic moment   0.01 Bohr magnetons per cell
ρ   5.68 g/cm³
Energy   -0.4701 Ry per atom

Unit cell a=7.522 b=7.522 c=10.655 alpha=130.25 beta=130.25 gamma=30.54
Fractional positions:
B (0.575, 0.575, 0.092)
B (0.425, 0.425, 0.908)
P (0.702, 0.702, 0.082)
P (0.629, 0.629, 0.314)
P (0.000, 0.000, 0.500)
P (0.371, 0.371, 0.686)
P (0.298, 0.298, 0.918)
Sm (0.938, 0.938, 0.178)
Sm (0.298, 0.298, 0.356)
Sm (0.702, 0.702, 0.644)
Sm (0.062, 0.062, 0.822)

=====

# 11
Material: Ta2B2P
Method: DFT, PBE
State: relaxed

Magnetic moment   0.00 Bohr magnetons per cell
ρ   11.79 g/cm³
Energy   -0.6586 Ry per atom

Unit cell a=6.034 b=6.034 c=3.229 alpha=90.00 beta=90.00 gamma=150.22
Fractional positions:
B (0.783, 0.217, 0.000)
B (0.217, 0.783, 0.000)
P (0.000, 0.000, 0.000)
Ta (0.631, 0.369, 0.500)
Ta (0.369, 0.631, 0.500)

=====

# 12
Material: Ta2BP
Method: DFT, PBE
State: relaxed

Magnetic moment   0.00 Bohr magnetons per cell
ρ   11.89 g/cm³
Energy   -0.7203 Ry per atom

Unit cell a=3.341 b=3.341 c=11.665 alpha=90.00 beta=90.00 gamma=120.00
Fractional positions:
B (0.000, 0.000, 0.000)
B (0.000, 0.000, 0.500)
P (0.667, 0.333, 0.250)
P (0.333, 0.667, 0.750)
Ta (0.333, 0.667, 0.105)
Ta (0.333, 0.667, 0.395)
Ta (0.667, 0.333, 0.605)
Ta (0.667, 0.333, 0.895)